Entry 1:
BaCuNF2 after structural relaxation, computed with PBE.

abc: 4.439 4.439 3.759
angles: 90.00 90.00 90.00
Positions (direct):
Ba1 0.000 0.000 0.000
Cu1 0.500 0.500 0.500
N1 0.500 0.500 0.000
F1 0.000 0.500 0.500
F2 0.500 0.000 0.500

Computed properties:
Space group: No. 123
Energy above the lowest structure with this stoichiometry, eV per atom: 0.0000

Entry 2:
BaNaCuF6 after structural relaxation, computed with PBE.

abc: 5.627 5.627 5.441
angles: 90.00 90.00 120.00
Positions (direct):
Ba1 0.000 0.000 0.000
Na1 0.333 0.667 0.500
Cu1 0.667 0.333 0.500
F1 0.392 0.046 0.705
F2 0.392 0.346 0.295
F3 0.654 0.046 0.295
F4 0.654 0.608 0.705
F5 0.954 0.346 0.705
F6 0.954 0.608 0.295

Computed properties:
Space group: No. 149
E, Ry/atom: -0.340

Entry 3:
BaNaCu2F8 after structural relaxation, computed with PBE.

abc: 6.482 6.482 6.482
angles: 126.80 126.80 78.58
Positions (direct):
Ba1 0.000 0.000 0.000
Na1 0.250 0.750 0.500
Cu1 0.500 0.500 0.000
Cu2 0.750 0.250 0.500
F1 0.020 0.373 0.931
F2 0.211 0.454 0.633
F3 0.422 0.789 0.243
F4 0.442 0.089 0.069
F5 0.546 0.179 0.757
F6 0.627 0.558 0.647
F7 0.821 0.578 0.367
F8 0.911 0.980 0.353

Computed properties:
Space group: No. 82
E, Ry/atom: -0.327

Entry 4:
Ba2NaCuF6 after structural relaxation, computed with PBE.

abc: 6.267 8.251 6.488
angles: 90.00 90.00 90.00
Positions (direct):
Ba1 0.250 0.010 0.177
Ba2 0.250 0.490 0.177
Ba3 0.750 0.510 0.823
Ba4 0.750 0.990 0.823
Na1 0.250 0.250 0.699
Na2 0.750 0.750 0.301
Cu1 0.250 0.750 0.607
Cu2 0.750 0.250 0.393
F1 0.003 0.750 0.052
F2 0.047 0.250 0.415
F3 0.250 0.510 0.781
F4 0.250 0.990 0.781
F5 0.453 0.250 0.415
F6 0.497 0.750 0.052
F7 0.503 0.250 0.948
F8 0.547 0.750 0.585
F9 0.750 0.010 0.219
F10 0.750 0.490 0.219
F11 0.953 0.750 0.585
F12 0.997 0.250 0.948

Computed properties:
Space group: No. 59
E, Ry/atom: -0.366

Entry 5:
BaNa2CuF after structural relaxation, computed with PBE.

abc: 4.663 4.663 5.762
angles: 90.00 90.00 90.00
Positions (direct):
Ba1 0.000 0.000 0.000
Na1 0.000 0.500 0.500
Na2 0.500 0.000 0.500
Cu1 0.500 0.500 0.000
F1 0.000 0.000 0.500

Computed properties:
Space group: No. 123
E, Ry/atom: -0.223

Entry 6:
BaNa2CuF8 after structural relaxation, computed with PBE.

abc: 4.764 5.234 6.918
angles: 89.16 72.22 85.69
Positions (direct):
Ba1 0.000 0.000 0.000
Na1 0.345 0.515 0.301
Na2 0.655 0.485 0.699
Cu1 0.500 0.000 0.500
F1 0.188 0.246 0.611
F2 0.246 0.494 0.004
F3 0.259 0.739 0.615
F4 0.406 0.988 0.242
F5 0.594 0.012 0.758
F6 0.741 0.261 0.385
F7 0.754 0.506 0.996
F8 0.812 0.754 0.389

Computed properties:
Space group: No. 2
E, Ry/atom: -0.319

Entry 7:
Ba2NaCuF after structural relaxation, computed with PBE.

abc: 5.673 5.673 4.619
angles: 90.00 90.00 90.00
Positions (direct):
Ba1 0.000 0.500 0.000
Ba2 0.500 0.000 0.000
Na1 0.000 0.000 0.500
Cu1 0.500 0.500 0.500
F1 0.000 0.000 0.000

Computed properties:
Space group: No. 123
E, Ry/atom: -0.234